DFT (PBE-GGA) results for a relaxed Sm4Ni3Ag crystal.

Properties
The calculation puts the electronic total energy at -5.20 eV per atom. As for the space group: Pmm2 (25). As for the density of states at the Fermi level: 0.7833 states/eV per atom. Its energy of formation from the pure elements is -313 meV/atom.

abc: 3.787 4.534 10.487
angles: 90.00 90.00 90.00
Element x y z (fractional)
Ni 0.500 0.000 0.920
Ni 0.000 0.000 0.429
Ni 0.000 0.500 0.575
Ag 0.500 0.500 0.073
Sm 0.500 0.500 0.375
Sm 0.000 0.000 0.145
Sm 0.500 0.000 0.637
Sm 0.000 0.500 0.846